1.
BeMoPt | GGA-PBE | relaxed

a = 8.916 Å, b = 3.255 Å, c = 6.310 Å
α = 90.00°, β = 115.90°, γ = 90.00°
Space group Cm (No. 8)
Unique sites:
Be 0.000 0.000 0.000
Be 0.157 0.500 0.197
Mo 0.132 0.000 0.460
Mo 0.379 0.000 0.223
Pt 0.185 0.500 0.848
Pt 0.392 0.500 0.591

Computed properties:
Energy relative to the lowest polymorph listed for this composition, eV/atom: 0.248
ΔE_f, meV per atom: -159
E_tot, eV/atom: -7.02

=====

2.
YOsRu2 | GGA-PBE | relaxed

a = 4.255 Å, b = 4.255 Å, c = 7.349 Å
α = 90.00°, β = 90.00°, γ = 90.00°
Space group I4/mmm (No. 139)
Unique sites:
Y 0.000 0.000 0.000
Os 0.000 0.000 0.500
Ru 0.000 0.500 0.250

Computed properties:
Energy relative to the lowest polymorph listed for this composition, eV/atom: 0.128
ΔE_f, meV per atom: 289
E_tot, eV/atom: -8.77

=====

3.
Ca2BiPd9 | GGA-PBE | relaxed

a = 4.129 Å, b = 4.129 Å, c = 12.387 Å
α = 90.00°, β = 90.00°, γ = 90.00°
Space group P4/mmm (No. 123)
Unique sites:
Ca 0.000 0.000 0.165
Bi 0.000 0.000 0.500
Pd 0.000 0.500 0.000
Pd 0.000 0.500 0.337
Pd 0.500 0.500 0.170
Pd 0.500 0.500 0.500

Computed properties:
ΔE_f, meV per atom: -430
E_tot, eV/atom: -4.98

=====

4.
Ac3Cu4Si2 | GGA-PBE | relaxed

a = 11.438 Å, b = 4.308 Å, c = 8.717 Å
α = 90.00°, β = 102.37°, γ = 90.00°
Space group C2/m (No. 12)
Unique sites:
Ac 0.000 0.000 0.000
Ac 0.165 0.500 0.665
Cu 0.058 0.000 0.384
Cu 0.218 0.500 0.063
Si 0.110 0.500 0.281

Computed properties:
Formation energy (no corrections), eV/atom: -0.389
E_tot, eV/atom: -4.78

=====

5.
LiYZr | GGA-PBE | relaxed

a = 10.856 Å, b = 3.342 Å, c = 8.773 Å
α = 90.00°, β = 109.68°, γ = 90.00°
Space group Cm (No. 8)
Unique sites:
Li 0.000 0.000 0.000
Li 0.154 0.500 0.308
Y 0.183 0.500 0.844
Y 0.352 0.000 0.220
Zr 0.047 0.000 0.521
Zr 0.347 0.000 0.620

Computed properties:
Energy relative to the lowest polymorph listed for this composition, eV/atom: 0.124
ΔE_f, meV per atom: 192
E_tot, eV/atom: -5.45

=====

6.
TmHfAgHg | GGA-PBE | relaxed

a = 7.075 Å, b = 7.075 Å, c = 7.075 Å
α = 90.00°, β = 90.00°, γ = 90.00°
Space group F-43m (No. 216)
Unique sites:
Tm 0.000 0.000 0.000
Hf 0.000 0.000 0.500
Ag 0.250 0.250 0.250
Hg 0.250 0.250 0.750

Computed properties:
ΔE_f, meV per atom: -124
E_tot, eV/atom: -4.52

=====

- Which of these has the highest E_tot?
  TmHfAgHg